Record 1
First-principles (GGA-PBE) data for crystalline Rb3ScPa3Te8 at its relaxed geometry, as listed in Alexandria.

Output
- Final energy: -233.08 eV for the cell shown
- Formation energy (no corrections): -0.99 eV per atom

Structure (CIF):
```
data_Rb3ScPa3Te8
_chemical_formula_sum 'Rb9 Sc3 Pa9 Te24'
_symmetry_space_group_name_H-M 'R -3 m'
_symmetry_Int_Tables_number 166
_symmetry_space_group_name_Hall '-R 3 2"'
_cell_length_a 8.7210
_cell_length_b 8.7210
_cell_length_c 26.7977
_cell_angle_alpha 90.00
_cell_angle_beta 90.00
_cell_angle_gamma 120.00
loop_
_atom_site_label
_atom_site_fract_x
_atom_site_fract_y
_atom_site_fract_z
Rb1 0.0000 0.5000 0.0000
Sc1 0.0000 0.0000 0.5000
Pa1 0.0000 0.5000 0.5000
Te1 0.0000 0.0000 0.2359
Te2 0.0104 0.5052 0.2322
```

Record 2
First-principles (GGA-PBE) data for crystalline Rb3Sc2PaTe6 at its relaxed geometry, as listed in Alexandria.

Output
- Final energy: -114.59 eV for the cell shown
- Formation energy (no corrections): -1.12 eV per atom

Structure (CIF):
```
data_Rb3Sc2PaTe6
_chemical_formula_sum 'Rb6 Sc4 Pa2 Te12'
_symmetry_space_group_name_H-M 'C 1 2/m 1'
_symmetry_Int_Tables_number 12
_symmetry_space_group_name_Hall '-C 2y'
_cell_length_a 7.6154
_cell_length_b 13.1915
_cell_length_c 8.9412
_cell_angle_alpha 90.00
_cell_angle_beta 106.52
_cell_angle_gamma 90.00
loop_
_atom_site_label
_atom_site_fract_x
_atom_site_fract_y
_atom_site_fract_z
Rb1 0.0000 0.0000 0.0000
Rb2 0.0000 0.3361 0.0000
Sc1 0.0000 0.1670 0.5000
Pa1 0.0000 0.5000 0.5000
Te1 0.2208 0.0000 0.6942
Te2 0.2371 0.3281 0.6953
```

Record 3
First-principles (GGA-PBE) data for crystalline Rb2ScPa2Te6 at its relaxed geometry, as listed in Alexandria.

Output
- Final energy: -114.65 eV for the cell shown
- Formation energy (no corrections): -1.02 eV per atom

Structure (CIF):
```
data_Rb2ScPa2Te6
_chemical_formula_sum 'Rb4 Sc2 Pa4 Te12'
_symmetry_space_group_name_H-M 'C 1 2/m 1'
_symmetry_Int_Tables_number 12
_symmetry_space_group_name_Hall '-C 2y'
_cell_length_a 7.5203
_cell_length_b 12.9883
_cell_length_c 9.2692
_cell_angle_alpha 90.00
_cell_angle_beta 106.13
_cell_angle_gamma 90.00
loop_
_atom_site_label
_atom_site_fract_x
_atom_site_fract_y
_atom_site_fract_z
Rb1 0.0000 0.1692 0.0000
Sc1 0.0000 0.0000 0.5000
Pa1 0.0000 0.3322 0.5000
Te1 0.2309 0.1597 0.6989
Te2 0.2431 0.5000 0.6970
```

Record 4
First-principles (GGA-PBE) data for crystalline RbPa6Se12 at its relaxed geometry, as listed in Alexandria.

Output
- Final energy: -369.21 eV for the cell shown
- Formation energy (no corrections): -1.23 eV per atom

Structure (CIF):
```
data_RbPa6Se12
_chemical_formula_sum 'Rb3 Pa18 Se36'
_symmetry_space_group_name_H-M 'R -3 m'
_symmetry_Int_Tables_number 166
_symmetry_space_group_name_Hall '-R 3 2"'
_cell_length_a 13.6910
_cell_length_b 13.6910
_cell_length_c 10.0510
_cell_angle_alpha 90.00
_cell_angle_beta 90.00
_cell_angle_gamma 120.00
loop_
_atom_site_label
_atom_site_fract_x
_atom_site_fract_y
_atom_site_fract_z
Rb1 0.0000 0.0000 0.0000
Pa1 0.0646 0.5323 0.2730
Se1 0.0000 0.3721 0.5000
Se2 0.0864 0.1729 0.3456
```

Record 5
First-principles (GGA-PBE) data for crystalline RbPa4Se8 at its relaxed geometry, as listed in Alexandria.

Output
- Final energy: -167.50 eV for the cell shown
- Formation energy (no corrections): -1.30 eV per atom

Structure (CIF):
```
data_RbPa4Se8
_chemical_formula_sum 'Rb2 Pa8 Se16'
_symmetry_space_group_name_H-M 'P 63/m m c'
_symmetry_Int_Tables_number 194
_symmetry_space_group_name_Hall '-P 6c 2c'
_cell_length_a 7.8805
_cell_length_b 7.8805
_cell_length_c 18.1663
_cell_angle_alpha 90.00
_cell_angle_beta 90.00
_cell_angle_gamma 120.00
loop_
_atom_site_label
_atom_site_fract_x
_atom_site_fract_y
_atom_site_fract_z
Rb1 0.0000 0.0000 0.0000
Pa1 0.0000 0.0000 0.2500
Pa2 0.0025 0.5012 0.2500
Se1 0.1668 0.3337 0.6531
Se2 0.3333 0.6667 0.1526
```

Record 6
First-principles (GGA-PBE) data for crystalline Rb2Pa2Se5 at its relaxed geometry, as listed in Alexandria.

Output
- Final energy: -100.42 eV for the cell shown
- Formation energy (no corrections): -1.32 eV per atom

Structure (CIF):
```
data_Rb2Pa2Se5
_chemical_formula_sum 'Rb4 Pa4 Se10'
_symmetry_space_group_name_H-M 'C 1 2/m 1'
_symmetry_Int_Tables_number 12
_symmetry_space_group_name_Hall '-C 2y'
_cell_length_a 14.6409
_cell_length_b 5.6970
_cell_length_c 8.6891
_cell_angle_alpha 90.00
_cell_angle_beta 122.80
_cell_angle_gamma 90.00
loop_
_atom_site_label
_atom_site_fract_x
_atom_site_fract_y
_atom_site_fract_z
Rb1 0.1256 0.0000 0.4596
Pa1 0.1101 0.5000 0.8967
Se1 0.0000 0.5000 0.5000
Se2 0.1141 0.5000 0.2212
Se3 0.1505 0.0000 0.9128
```

Record 7
First-principles (GGA-PBE) data for crystalline RbPa2Se4 at its relaxed geometry, as listed in Alexandria.

Output
- Final energy: -170.56 eV for the cell shown
- Formation energy (no corrections): -1.25 eV per atom

Structure (CIF):
```
data_RbPa2Se4
_chemical_formula_sum 'Rb4 Pa8 Se16'
_symmetry_space_group_name_H-M 'I 41/a m d'
_symmetry_Int_Tables_number 141
_cell_length_a 8.7562
_cell_length_b 8.7562
_cell_length_c 12.8854
_cell_angle_alpha 90.00
_cell_angle_beta 90.00
_cell_angle_gamma 90.00
loop_
_symmetry_equiv_pos_as_xyz
'x,y,z'
'-x,-y,-z'
'-y+1/4,x+3/4,z+1/4'
'y+1/4,-x+3/4,-z+1/4'
'-x+1/2,-y,z+1/2'
'x+1/2,y,-z+1/2'
'y+1/4,-x+1/4,z+3/4'
'-y+1/4,x+1/4,-z+3/4'
'x,-y,-z'
'-x,y,z'
'-y+1/4,-x+1/4,-z+3/4'
'y+1/4,x+1/4,z+3/4'
'-x+1/2,y,-z+1/2'
'x+1/2,-y,z+1/2'
'y+1/4,x+3/4,-z+1/4'
'-y+1/4,-x+3/4,z+1/4'
'x+1/2,y+1/2,z+1/2'
'-x+1/2,-y+1/2,-z+1/2'
'-y+3/4,x+1/4,z+3/4'
'y+3/4,-x+1/4,-z+3/4'
'-x,-y+1/2,z'
'x,y+1/2,-z'
'y+3/4,-x+3/4,z+1/4'
'-y+3/4,x+3/4,-z+1/4'
'x+1/2,-y+1/2,-z+1/2'
'-x+1/2,y+1/2,z+1/2'
'-y+3/4,-x+3/4,-z+1/4'
'y+3/4,x+3/4,z+1/4'
'-x,y+1/2,-z'
'x,-y+1/2,z'
'y+3/4,x+1/4,-z+3/4'
'-y+3/4,-x+1/4,z+3/4'
loop_
_atom_site_label
_atom_site_fract_x
_atom_site_fract_y
_atom_site_fract_z
Rb1 0.0000 0.2500 0.3750
Pa1 0.0000 0.0000 0.0000
Se1 0.0000 0.0350 0.7753
```

Record 8
First-principles (GGA-PBE) data for crystalline RbPa4Se8 at its relaxed geometry, as listed in Alexandria.

Output
- Final energy: -333.37 eV for the cell shown
- Formation energy (no corrections): -1.27 eV per atom

Structure (CIF):
```
data_RbPa4Se8
_chemical_formula_sum 'Rb4 Pa16 Se32'
_symmetry_space_group_name_H-M 'F -4 3 m'
_symmetry_Int_Tables_number 216
_symmetry_space_group_name_Hall 'F -4 2 3'
_cell_length_a 12.3015
_cell_length_b 12.3015
_cell_length_c 12.3015
_cell_angle_alpha 90.00
_cell_angle_beta 90.00
_cell_angle_gamma 90.00
loop_
_atom_site_label
_atom_site_fract_x
_atom_site_fract_y
_atom_site_fract_z
Rb1 0.0000 0.0000 0.0000
Pa1 0.1225 0.1225 0.3775
Se1 0.1115 0.1115 0.6115
Se2 0.1453 0.1453 0.1453
```

Record 9
First-principles (GGA-PBE) data for crystalline RbPaSe2 at its relaxed geometry, as listed in Alexandria.

Output
- Final energy: -67.52 eV for the cell shown
- Formation energy (no corrections): -1.27 eV per atom

Structure (CIF):
```
data_RbPaSe2
_chemical_formula_sum 'Rb3 Pa3 Se6'
_symmetry_space_group_name_H-M 'R 3 m'
_symmetry_Int_Tables_number 160
_symmetry_space_group_name_Hall 'R 3 -2"'
_cell_length_a 4.1623
_cell_length_b 4.1623
_cell_length_c 25.0645
_cell_angle_alpha 90.00
_cell_angle_beta 90.00
_cell_angle_gamma 120.00
loop_
_atom_site_label
_atom_site_fract_x
_atom_site_fract_y
_atom_site_fract_z
Rb1 0.0000 0.0000 0.0000
Pa1 0.0000 0.0000 0.1699
Se1 0.0000 0.0000 0.5705
Se2 0.0000 0.0000 0.7689
```

Record 10
First-principles (GGA-PBE) data for crystalline Rb2Pa2Se5 at its relaxed geometry, as listed in Alexandria.

Output
- Final energy: -203.85 eV for the cell shown
- Formation energy (no corrections): -1.40 eV per atom

Structure (CIF):
```
data_Rb2Pa2Se5
_chemical_formula_sum 'Rb8 Pa8 Se20'
_symmetry_space_group_name_H-M 'C m c e'
_symmetry_Int_Tables_number 64
_symmetry_space_group_name_Hall '-C 2ac 2'
_cell_length_a 16.8530
_cell_length_b 7.9940
_cell_length_c 7.9944
_cell_angle_alpha 90.00
_cell_angle_beta 90.00
_cell_angle_gamma 90.00
loop_
_atom_site_label
_atom_site_fract_x
_atom_site_fract_y
_atom_site_fract_z
Rb1 0.2057 0.0000 0.0000
Pa1 0.0000 0.1581 0.3419
Se1 0.0000 0.0000 0.0000
Se2 0.1087 0.1452 0.6450
```

Record 11
First-principles (GGA-PBE) data for crystalline Rb3Pa2Se7 at its relaxed geometry, as listed in Alexandria.

Output
- Final energy: -123.40 eV for the cell shown
- Formation energy (no corrections): -1.28 eV per atom

Structure (CIF):
```
data_Rb3Pa2Se7
_chemical_formula_sum 'Rb6 Pa4 Se14'
_symmetry_space_group_name_H-M 'C m m m'
_symmetry_Int_Tables_number 65
_symmetry_space_group_name_Hall '-C 2 2'
_cell_length_a 5.5721
_cell_length_b 26.9998
_cell_length_c 5.5262
_cell_angle_alpha 90.00
_cell_angle_beta 90.00
_cell_angle_gamma 90.00
loop_
_atom_site_label
_atom_site_fract_x
_atom_site_fract_y
_atom_site_fract_z
Rb1 0.0000 0.0000 0.0000
Rb2 0.0000 0.1895 0.0000
Pa1 0.0000 0.3965 0.5000
Se1 0.0000 0.1007 0.5000
Se2 0.0000 0.2980 0.5000
Se3 0.0000 0.4013 0.0000
Se4 0.0000 0.5000 0.5000
```

Record 12
First-principles (GGA-PBE) data for crystalline Rb2PaSe4 at its relaxed geometry, as listed in Alexandria.

Output
- Final energy: -67.83 eV for the cell shown
- Formation energy (no corrections): -1.22 eV per atom

Structure (CIF):
```
data_Rb2PaSe4
_chemical_formula_sum 'Rb4 Pa2 Se8'
_symmetry_space_group_name_H-M 'I 4/m m m'
_symmetry_Int_Tables_number 139
_symmetry_space_group_name_Hall '-I 4 2'
_cell_length_a 5.5767
_cell_length_b 5.5767
_cell_length_c 17.3367
_cell_angle_alpha 90.00
_cell_angle_beta 90.00
_cell_angle_gamma 90.00
loop_
_atom_site_label
_atom_site_fract_x
_atom_site_fract_y
_atom_site_fract_z
Rb1 0.0000 0.0000 0.1427
Pa1 0.0000 0.0000 0.5000
Se1 0.0000 0.0000 0.3454
Se2 0.0000 0.5000 0.0000
```

Record 13
First-principles (GGA-PBE) data for crystalline RbPa5Se12 at its relaxed geometry, as listed in Alexandria.

Output
- Final energy: -222.03 eV for the cell shown
- Formation energy (no corrections): -1.15 eV per atom

Structure (CIF):
```
data_RbPa5Se12
_chemical_formula_sum 'Rb2 Pa10 Se24'
_symmetry_space_group_name_H-M 'I m m m'
_symmetry_Int_Tables_number 71
_symmetry_space_group_name_Hall '-I 2 2'
_cell_length_a 8.9805
_cell_length_b 10.4893
_cell_length_c 10.9896
_cell_angle_alpha 90.00
_cell_angle_beta 90.00
_cell_angle_gamma 90.00
loop_
_atom_site_label
_atom_site_fract_x
_atom_site_fract_y
_atom_site_fract_z
Rb1 0.0000 0.0000 0.0000
Pa1 0.0000 0.0000 0.5000
Pa2 0.0000 0.3414 0.5000
Pa3 0.0000 0.5000 0.1498
Se1 0.0000 0.1819 0.3033
Se2 0.1913 0.5000 0.3452
Se3 0.1972 0.3413 0.0000
```

Record 14
First-principles (GGA-PBE) data for crystalline RbPa3Se8 at its relaxed geometry, as listed in Alexandria.

Output
- Final energy: -72.21 eV for the cell shown
- Formation energy (no corrections): -1.24 eV per atom

Structure (CIF):
```
data_RbPa3Se8
_chemical_formula_sum 'Rb1 Pa3 Se8'
_symmetry_space_group_name_H-M 'P -3'
_symmetry_Int_Tables_number 147
_symmetry_space_group_name_Hall '-P 3'
_cell_length_a 7.3270
_cell_length_b 7.3270
_cell_length_c 8.8426
_cell_angle_alpha 90.00
_cell_angle_beta 90.00
_cell_angle_gamma 120.00
loop_
_atom_site_label
_atom_site_fract_x
_atom_site_fract_y
_atom_site_fract_z
Rb1 0.0000 0.0000 0.0000
Pa1 0.0000 0.0000 0.5000
Pa2 0.3333 0.6667 0.5839
Se1 0.0646 0.3585 0.3467
Se2 0.3333 0.6667 0.8756
```

Record 15
First-principles (GGA-PBE) data for crystalline RbPaSe2 at its relaxed geometry, as listed in Alexandria.

Output
- Final energy: -22.38 eV for the cell shown
- Formation energy (no corrections): -1.24 eV per atom

Structure (CIF):
```
data_RbPaSe2
_chemical_formula_sum 'Rb1 Pa1 Se2'
_symmetry_space_group_name_H-M 'P 4/m m m'
_symmetry_Int_Tables_number 123
_symmetry_space_group_name_Hall '-P 4 2'
_cell_length_a 3.6452
_cell_length_b 3.6452
_cell_length_c 8.2339
_cell_angle_alpha 90.00
_cell_angle_beta 90.00
_cell_angle_gamma 90.00
loop_
_atom_site_label
_atom_site_fract_x
_atom_site_fract_y
_atom_site_fract_z
Rb1 0.0000 0.0000 0.0000
Pa1 0.0000 0.0000 0.5000
Se1 0.5000 0.5000 0.2985
```

Record 16
First-principles (GGA-PBE) data for crystalline RbPaSe3 at its relaxed geometry, as listed in Alexandria.

Output
- Final energy: -27.89 eV for the cell shown
- Formation energy (no corrections): -1.39 eV per atom

Structure (CIF):
```
data_RbPaSe3
_chemical_formula_sum 'Rb1 Pa1 Se3'
_symmetry_space_group_name_H-M 'P m -3 m'
_symmetry_Int_Tables_number 221
_symmetry_space_group_name_Hall '-P 4 2 3'
_cell_length_a 5.5240
_cell_length_b 5.5240
_cell_length_c 5.5240
_cell_angle_alpha 90.00
_cell_angle_beta 90.00
_cell_angle_gamma 90.00
loop_
_atom_site_label
_atom_site_fract_x
_atom_site_fract_y
_atom_site_fract_z
Rb1 0.0000 0.0000 0.0000
Pa1 0.5000 0.5000 0.5000
Se1 0.0000 0.5000 0.5000
```

Record 17
First-principles (GGA-PBE) data for crystalline Rb3Pa2Se6 at its relaxed geometry, as listed in Alexandria.

Output
- Final energy: -113.69 eV for the cell shown
- Formation energy (no corrections): -1.28 eV per atom

Structure (CIF):
```
data_Rb3Pa2Se6
_chemical_formula_sum 'Rb6 Pa4 Se12'
_symmetry_space_group_name_H-M 'I 4/m m m'
_symmetry_Int_Tables_number 139
_symmetry_space_group_name_Hall '-I 4 2'
_cell_length_a 5.4866
_cell_length_b 5.4866
_cell_length_c 28.1257
_cell_angle_alpha 90.00
_cell_angle_beta 90.00
_cell_angle_gamma 90.00
loop_
_atom_site_label
_atom_site_fract_x
_atom_site_fract_y
_atom_site_fract_z
Rb1 0.0000 0.0000 0.0000
Rb2 0.0000 0.0000 0.1826
Pa1 0.0000 0.0000 0.4002
Se1 0.0000 0.0000 0.3077
Se2 0.0000 0.5000 0.0822
```

Record 18
First-principles (GGA-PBE) data for crystalline Rb2Pa3Se9 at its relaxed geometry, as listed in Alexandria.

Output
- Final energy: -308.91 eV for the cell shown
- Formation energy (no corrections): -1.10 eV per atom

Structure (CIF):
```
data_Rb2Pa3Se9
_chemical_formula_sum 'Rb8 Pa12 Se36'
_symmetry_space_group_name_H-M 'C 1 2/c 1'
_symmetry_Int_Tables_number 15
_symmetry_space_group_name_Hall '-C 2yc'
_cell_length_a 15.2122
_cell_length_b 8.8209
_cell_length_c 12.3845
_cell_angle_alpha 90.00
_cell_angle_beta 115.51
_cell_angle_gamma 90.00
loop_
_atom_site_label
_atom_site_fract_x
_atom_site_fract_y
_atom_site_fract_z
Rb1 0.1625 0.0853 0.2499
Pa1 0.0798 0.2668 0.5020
Pa2 0.2500 0.2500 0.0000
Se1 0.0000 0.3311 0.2500
Se2 0.0686 0.0628 0.9438
Se3 0.1070 0.4077 0.0535
Se4 0.1375 0.2782 0.7482
Se5 0.2321 0.4117 0.4377
```

Record 19
First-principles (GGA-PBE) data for crystalline Rb2PaSe4 at its relaxed geometry, as listed in Alexandria.

Output
- Final energy: -67.19 eV for the cell shown
- Formation energy (no corrections): -1.18 eV per atom

Structure (CIF):
```
data_Rb2PaSe4
_chemical_formula_sum 'Rb4 Pa2 Se8'
_symmetry_space_group_name_H-M 'P b a m'
_symmetry_Int_Tables_number 55
_symmetry_space_group_name_Hall '-P 2 2ab'
_cell_length_a 8.4996
_cell_length_b 14.1913
_cell_length_c 4.4148
_cell_angle_alpha 90.00
_cell_angle_beta 90.00
_cell_angle_gamma 90.00
loop_
_atom_site_label
_atom_site_fract_x
_atom_site_fract_y
_atom_site_fract_z
Rb1 0.0658 0.1776 0.0000
Pa1 0.0000 0.5000 0.5000
Se1 0.1233 0.6736 0.5000
Se2 0.1981 0.4524 0.0000
```